A geometry-optimized BeHg2Sb structure, computed with PBE.

energy relative to the elements, uncorrected = 167 meV per atom
energy above the most stable polymorph in this dataset = 0 meV/atom
crystal system = monoclinic

Structure (extended XYZ):
```
8
Lattice="7.2378 0.0000 0.0000 0.0000 4.1775 0.0000 -0.0085 0.0000 6.7983" Properties=species:S:1:pos:R:3 pbc="T T T"
Be 0.0000 0.0000 0.0000
Be 3.6189 2.0888 0.0000
Hg 2.4073 0.0000 4.4198
Hg 3.6113 2.0888 2.4927
Hg 6.0262 2.0888 4.4198
Hg 7.2302 0.0000 2.4927
Sb 1.1982 2.0888 6.6607
Sb 4.8172 0.0000 6.6607
```

=====

A geometry-optimized SrAgSe4 structure, computed with PBE.

energy relative to the elements, uncorrected = -150 meV per atom
crystal system = cubic

Structure (extended XYZ):
```
6
Lattice="0.0000 4.1723 4.1723 4.1723 0.0000 4.1723 4.1723 4.1723 0.0000" Properties=species:S:1:pos:R:3 pbc="T T T"
Sr 0.0000 0.0000 0.0000
Ag 6.2585 6.2585 6.2585
Se 3.1385 3.1385 3.1385
Se 5.2061 5.2061 3.1385
Se 5.2061 3.1385 5.2061
Se 3.1385 5.2061 5.2061
```

=====

A geometry-optimized ZrSiTe2I structure, computed with PBE.

energy relative to the elements, uncorrected = 288 meV per atom
energy above the most stable polymorph in this dataset = 0 meV/atom
crystal system = tetragonal

Structure (extended XYZ):
```
5
Lattice="5.6335 0.0000 0.0000 0.0000 5.6335 0.0000 0.0000 0.0000 5.6490" Properties=species:S:1:pos:R:3 pbc="T T T"
Zr 0.0000 0.0000 0.0000
Si 2.8168 2.8168 2.8245
Te 0.0000 2.8168 0.0000
Te 2.8168 0.0000 0.0000
I 0.0000 0.0000 2.8245
```

=====

A geometry-optimized Al2Ag3Au5 structure, computed with PBE.

formation energy = -10 kJ/mol of formula units
crystal system = orthorhombic

Structure (extended XYZ):
```
20
Lattice="-5.5108 6.4219 2.7439 5.5108 -6.4219 2.7439 5.5108 6.4219 -2.7439" Properties=species:S:1:pos:R:3 pbc="T T T"
Al 1.5844 1.8364 0.0000
Al 1.5844 -1.8364 2.7439
Al 3.9264 8.2584 0.0000
Al 3.9264 4.5855 2.7439
Ag 4.3496 -3.7077 2.7439
Ag 0.0000 0.0000 1.3720
Ag 4.3496 3.7077 0.0000
Ag 1.1613 2.7142 2.7439
Ag 0.0000 0.0000 4.1159
Ag 1.1613 10.1296 0.0000
Au 6.8923 2.1850 0.0000
Au 2.7706 0.0000 1.3720
Au 5.5108 0.0000 1.3720
Au 8.2511 0.0000 1.3720
Au 1.3814 4.2370 0.0000
Au 4.1294 2.1850 2.7439
Au -2.7402 6.4219 1.3720
Au 0.0000 6.4219 1.3720
Au 2.7402 6.4219 1.3720
Au -1.3814 4.2370 2.7439
```

=====

A geometry-optimized Y3Ni5Se12 structure, computed with PBE.

energy relative to the elements, uncorrected = -735 meV per atom
crystal system = cubic

Structure (extended XYZ):
```
80
Lattice="-7.6074 7.6074 7.6074 7.6074 -7.6074 7.6074 7.6074 7.6074 -7.6074" Properties=species:S:1:pos:R:3 pbc="T T T"
Y 3.8037 1.9019 0.0000
Y 7.6074 3.8037 -1.9019
Y 1.9019 0.0000 3.8037
Y 9.5093 0.0000 3.8037
Y 0.0000 3.8037 1.9019
Y 3.8037 -1.9019 7.6074
Y 3.8037 9.5093 0.0000
Y 7.6074 3.8037 5.7056
Y -1.9019 7.6074 3.8037
Y 5.7056 7.6074 3.8037
Y 0.0000 3.8037 9.5093
Y 3.8037 5.7056 7.6074
Ni 0.0000 0.0000 0.0000
Ni 3.8037 3.8037 -3.8037
Ni 3.8037 -3.8037 3.8037
Ni 7.6074 0.0000 0.0000
Ni 11.4112 1.9019 0.0000
Ni 7.6074 -3.8037 5.7056
Ni 5.7056 7.6074 -3.8037
Ni 5.7056 0.0000 3.8037
Ni 3.8037 5.7056 0.0000
Ni 7.6074 3.8037 1.9019
Ni -3.8037 3.8037 3.8037
Ni 0.0000 7.6074 0.0000
Ni 0.0000 0.0000 7.6074
Ni 3.8037 3.8037 3.8037
Ni 0.0000 3.8037 5.7056
Ni 3.8037 1.9019 7.6074
Ni 1.9019 7.6074 3.8037
Ni 1.9019 0.0000 11.4112
Ni 0.0000 11.4112 1.9019
Ni -3.8037 5.7056 7.6074
Se 2.2312 -0.4380 0.8500
Se 9.1799 4.6537 -4.2417
Se 9.8387 0.4380 0.8500
Se 9.1799 -2.9537 4.2417
Se 7.1695 -0.8500 2.2312
Se 11.8491 -1.5725 2.9537
Se 0.8500 2.2312 -0.4380
Se 10.5612 3.3658 -1.5725
Se 4.6537 4.2417 -1.5725
Se 6.7574 2.2312 0.4380
Se -0.4380 0.8500 2.2312
Se 4.2417 -1.5725 4.6537
Se 7.1695 6.7574 -2.2312
Se 4.2417 1.5725 2.9537
Se 4.6537 -4.2417 9.1799
Se 6.7574 -2.2312 7.1695
Se 2.9537 4.2417 1.5725
Se 8.4575 5.3762 0.4380
Se 4.2417 9.1799 -2.9537
Se 7.1695 0.8500 5.3762
Se 2.2312 7.1695 -0.8500
Se 9.1799 2.9537 3.3658
Se 1.5725 2.9537 4.2417
Se 2.2312 0.4380 6.7574
Se 5.3762 7.1695 0.8500
Se 6.0350 4.6537 3.3658
Se -1.5725 4.6537 4.2417
Se 5.3762 0.4380 8.4575
Se 0.4380 6.7574 2.2312
Se 3.3658 -1.5725 10.5612
Se -0.8500 2.2312 7.1695
Se 4.6537 3.3658 6.0350
Se 0.8500 9.8387 0.4380
Se 2.9537 11.8491 -1.5725
Se 3.3658 6.0350 4.6537
Se 0.4380 0.8500 9.8387
Se 3.3658 9.1799 2.9537
Se 8.0454 6.7574 5.3762
Se 0.8500 5.3762 7.1695
Se 2.9537 3.3658 9.1799
Se -2.9537 4.2417 9.1799
Se 6.7574 5.3762 8.0454
Se -4.2417 9.1799 4.6537
Se 0.4380 8.4575 5.3762
Se -1.5725 10.5612 3.3658
Se -2.2312 7.1695 6.7574
Se -1.5725 2.9537 11.8491
Se 5.3762 8.0454 6.7574
```

=====

A geometry-optimized TeP2PdO structure, computed with PBE.

energy relative to the elements, uncorrected = 704 meV per atom
energy above the most stable polymorph in this dataset = 317 meV/atom
crystal system = tetragonal

Structure (extended XYZ):
```
5
Lattice="5.0907 0.0000 0.0000 0.0000 5.0907 0.0000 0.0000 0.0000 3.8437" Properties=species:S:1:pos:R:3 pbc="T T T"
Te 0.0000 0.0000 0.0000
P 0.0000 2.5453 0.0000
P 2.5453 0.0000 0.0000
Pd 2.5453 2.5453 1.9218
O 0.0000 0.0000 1.9218
```

=====

A geometry-optimized Np2RhS3 structure, computed with PBE.

energy relative to the elements, uncorrected = -1152 meV per atom
crystal system = orthorhombic

Structure (extended XYZ):
```
24
Lattice="7.8281 0.0000 0.0000 0.0000 3.8230 0.0000 0.0000 0.0000 15.2220" Properties=species:S:1:pos:R:3 pbc="T T T"
Np 0.5941 0.9557 3.3940
Np 1.9090 2.8672 7.1437
Np 2.0051 0.9557 14.7548
Np 3.3199 2.8672 11.0050
Np 4.5082 0.9557 4.2170
Np 5.8231 2.8672 0.4673
Np 5.9191 0.9557 8.0783
Np 7.2340 2.8672 11.8281
Rh 0.9794 0.9557 9.6522
Rh 2.9347 2.8672 2.0412
Rh 4.8935 0.9557 13.1809
Rh 6.8487 2.8672 5.5698
S 0.2388 0.9557 6.1471
S 0.7832 2.8672 1.1392
S 1.4802 0.9557 11.9306
S 2.4338 2.8672 4.3196
S 3.1309 0.9557 8.7502
S 3.6753 2.8672 13.7581
S 4.1529 0.9557 1.4639
S 4.6972 2.8672 6.4719
S 5.3943 0.9557 10.9025
S 6.3479 2.8672 3.2915
S 7.0450 0.9557 14.0829
S 7.5894 2.8672 9.0749
```

=====

A geometry-optimized KMg2GaPd structure, computed with PBE.

formation energy = -115 kJ/mol of formula units
crystal system = tetragonal

Structure (extended XYZ):
```
5
Lattice="5.1631 0.0000 0.0000 0.0000 5.1631 0.0000 0.0000 0.0000 4.9068" Properties=species:S:1:pos:R:3 pbc="T T T"
K 0.0000 0.0000 0.0000
Mg 0.0000 2.5815 2.4534
Mg 2.5815 0.0000 2.4534
Ga 2.5815 2.5815 0.0000
Pd 2.5815 2.5815 2.4534
```

=====

A geometry-optimized Zr4As2C structure, computed with PBE.

formation energy = -510 kJ/mol of formula units
crystal system = monoclinic

Structure (extended XYZ):
```
14
Lattice="13.3721 0.0000 0.0000 0.0000 3.5692 0.0000 -2.8555 0.0000 5.6659" Properties=species:S:1:pos:R:3 pbc="T T T"
Zr 0.2124 0.0000 2.3304
Zr -1.3046 1.7846 5.4523
Zr 5.1352 0.0000 0.2137
Zr 3.6182 1.7846 3.3356
Zr 6.8985 1.7846 2.3304
Zr 5.3814 0.0000 5.4523
Zr 11.8213 1.7846 0.2137
Zr 10.3042 0.0000 3.3356
As 1.0535 1.7846 4.1650
As 2.7771 0.0000 1.5009
As 7.7396 0.0000 4.1650
As 9.4632 1.7846 1.5009
C 0.0000 0.0000 0.0000
C 6.6861 1.7846 0.0000
```

=====

A geometry-optimized SrScTe2 structure, computed with PBE.

energy relative to the elements, uncorrected = -1077 meV per atom
energy above the most stable polymorph in this dataset = 300 meV/atom
crystal system = tetragonal

Structure (extended XYZ):
```
16
Lattice="7.1108 0.0000 0.0000 0.0000 7.1108 0.0000 0.0000 0.0000 13.4601" Properties=species:S:1:pos:R:3 pbc="T T T"
Sr 0.0000 0.0000 0.0000
Sr 0.0000 3.5554 3.3650
Sr 3.5554 0.0000 10.0951
Sr 3.5554 3.5554 6.7300
Sc 0.0000 0.0000 6.7300
Sc 0.0000 3.5554 10.0951
Sc 3.5554 0.0000 3.3650
Sc 3.5554 3.5554 0.0000
Te 1.4581 1.7777 8.4126
Te 1.7777 5.0135 11.7776
Te 1.7777 5.6527 5.0475
Te 2.0973 1.7777 1.6825
Te 5.0135 5.3331 1.6825
Te 5.3331 1.4581 5.0475
Te 5.3331 2.0973 11.7776
Te 5.6527 5.3331 8.4126
```

=====

A geometry-optimized TaCd2PdPt structure, computed with PBE.

formation energy = 572 kJ/mol of formula units
crystal system = tetragonal

Structure (extended XYZ):
```
5
Lattice="5.3748 0.0000 0.0000 0.0000 5.3748 0.0000 0.0000 0.0000 4.7998" Properties=species:S:1:pos:R:3 pbc="T T T"
Ta 0.0000 0.0000 0.0000
Cd 0.0000 2.6874 0.0000
Cd 2.6874 0.0000 0.0000
Pd 2.6874 2.6874 2.3999
Pt 0.0000 0.0000 2.3999
```

=====

A geometry-optimized RbTl2Pb structure, computed with PBE.

energy above the most stable polymorph in this dataset = 62 meV/atom
formation energy = -15 kJ/mol of formula units
crystal system = trigonal

Structure (extended XYZ):
```
12
Lattice="5.2158 0.0000 0.0000 -2.6079 4.5170 0.0000 0.0000 0.0000 20.9494" Properties=species:S:1:pos:R:3 pbc="T T T"
Rb 0.0000 0.0000 0.0000
Rb 0.0000 3.0113 13.9663
Rb 2.6079 1.5057 6.9831
Tl 0.0000 0.0000 11.8257
Tl 0.0000 0.0000 16.4546
Tl 0.0000 3.0113 4.8425
Tl 0.0000 3.0113 9.4715
Tl 2.6079 1.5057 2.4884
Tl 2.6079 1.5057 18.8088
Pb 0.0000 0.0000 3.8830
Pb 0.0000 3.0113 17.8493
Pb 2.6079 1.5057 10.8662
```

=====

A geometry-optimized RbLa2Br2 structure, computed with PBE.

energy relative to the elements, uncorrected = -514 meV per atom
energy above the most stable polymorph in this dataset = 125 meV/atom
crystal system = tetragonal

Structure (extended XYZ):
```
10
Lattice="9.7339 0.0000 0.0000 0.0000 9.7339 0.0000 0.0000 0.0000 3.5946" Properties=species:S:1:pos:R:3 pbc="T T T"
Rb 0.0000 0.0000 0.0000
Rb 4.8669 4.8669 0.0000
La 1.4969 3.3701 0.0000
La 3.3701 8.2370 0.0000
La 6.3638 1.4969 0.0000
La 8.2370 6.3638 0.0000
Br 1.2440 6.1109 1.7973
Br 3.6230 1.2440 1.7973
Br 6.1109 8.4899 1.7973
Br 8.4899 3.6230 1.7973
```

=====

A geometry-optimized Dy3Tl3CrS8 structure, computed with PBE.

energy relative to the elements, uncorrected = -1240 meV per atom
crystal system = trigonal

Structure (extended XYZ):
```
15
Lattice="3.9032 2.2535 7.4587 -3.9032 2.2535 7.4587 0.0000 -4.5070 7.4587" Properties=species:S:1:pos:R:3 pbc="T T T"
Dy -1.9516 -1.1268 7.4587
Dy -1.9516 1.1268 14.9175
Dy 0.0000 2.2535 7.4587
Tl -3.9032 0.0000 11.1881
Tl -1.9516 1.1268 3.7294
Tl 1.9516 1.1268 3.7294
Cr 0.0000 0.0000 0.0000
S 0.0000 -2.4677 8.8542
S -2.1371 1.2339 8.8542
S -2.1371 -1.2339 13.5220
S 0.0000 0.0000 5.9429
S 0.0000 0.0000 16.4333
S 2.1371 1.2339 8.8542
S 2.1371 -1.2338 13.5220
S 0.0000 2.4677 13.5220
```

=====

A geometry-optimized TbTmLuPu structure, computed with PBE.

formation energy = 66 kJ/mol of formula units
crystal system = cubic

Structure (extended XYZ):
```
16
Lattice="7.8141 0.0000 0.0000 0.0000 7.8141 0.0000 0.0000 0.0000 7.8141" Properties=species:S:1:pos:R:3 pbc="T T T"
Tb 0.0000 0.0000 0.0000
Tb 0.0000 3.9071 3.9071
Tb 3.9071 0.0000 3.9071
Tb 3.9071 3.9071 0.0000
Tm 1.9535 1.9535 1.9535
Tm 1.9535 5.8606 5.8606
Tm 5.8606 1.9535 5.8606
Tm 5.8606 5.8606 1.9535
Lu 1.9535 1.9535 5.8606
Lu 1.9535 5.8606 1.9535
Lu 5.8606 1.9535 1.9535
Lu 5.8606 5.8606 5.8606
Pu 0.0000 0.0000 3.9071
Pu 0.0000 3.9071 0.0000
Pu 3.9071 0.0000 0.0000
Pu 3.9071 3.9071 3.9071
```

=====

A geometry-optimized FeBi structure, computed with PBE.

formation energy = 61 kJ/mol of formula units
crystal system = orthorhombic

Structure (extended XYZ):
```
12
Lattice="4.4093 0.0000 0.0000 0.0000 8.1205 0.0000 0.0000 0.0000 7.0788" Properties=species:S:1:pos:R:3 pbc="T T T"
Fe 1.1023 0.7493 0.4181
Fe 1.1023 2.0301 2.4652
Fe 1.1023 3.3110 0.4181
Fe 3.3070 4.8095 6.6607
Fe 3.3070 6.0904 4.6136
Fe 3.3070 7.3712 6.6607
Bi 1.1023 4.3615 4.8302
Bi 1.1023 6.0904 0.9508
Bi 1.1023 7.8192 4.8302
Bi 3.3070 0.3013 2.2486
Bi 3.3070 2.0301 6.1280
Bi 3.3070 3.7590 2.2486
```

=====

A geometry-optimized Pm5Y5Sc2 structure, computed with PBE.

formation energy = 45 kJ/mol of formula units
crystal system = monoclinic

Structure (extended XYZ):
```
12
Lattice="7.5380 -2.5100 0.0000 7.5380 2.5100 0.0000 -5.0130 0.0000 10.0558" Properties=species:S:1:pos:R:3 pbc="T T T"
Pm 0.0000 0.0000 0.0000
Pm -0.0299 0.0000 5.0263
Pm 2.5683 0.0000 2.5284
Pm 7.4948 0.0000 7.5274
Pm 10.0930 0.0000 5.0295
Y -0.0019 0.0000 10.0556
Y 2.5647 0.0000 7.5437
Y 5.0315 0.0000 5.0279
Y 7.4984 0.0000 2.5121
Y 10.0650 0.0000 0.0002
Sc -2.5122 0.0000 7.5680
Sc 12.5753 0.0000 2.4878
```

=====

A geometry-optimized Ac7Nd12Dy structure, computed with PBE.

formation energy = 1550 kJ/mol of formula units
crystal system = cubic

Structure (extended XYZ):
```
20
Lattice="-6.0874 6.0874 6.0874 6.0874 -6.0874 6.0874 6.0874 6.0874 -6.0874" Properties=species:S:1:pos:R:3 pbc="T T T"
Ac 3.0437 3.0437 -3.0437
Ac 3.0437 -3.0437 3.0437
Ac 6.0874 0.0000 0.0000
Ac -3.0437 3.0437 3.0437
Ac 0.0000 6.0874 0.0000
Ac 0.0000 0.0000 6.0874
Ac 3.0437 3.0437 3.0437
Nd 6.0874 -2.1323 3.1323
Nd 3.9551 2.9551 0.0000
Nd 8.2197 2.9551 0.0000
Nd 3.1323 6.0874 -2.1323
Nd 2.9551 0.0000 3.9551
Nd 6.0874 2.1323 3.1323
Nd 0.0000 3.9551 2.9551
Nd 3.1323 6.0874 2.1323
Nd 2.9551 0.0000 8.2197
Nd -2.1323 3.1323 6.0874
Nd 2.1323 3.1323 6.0874
Nd 0.0000 8.2197 2.9551
Dy 0.0000 0.0000 0.0000
```

=====

A geometry-optimized ErGaCo2 structure, computed with PBE.

formation energy = -85 kJ/mol of formula units
crystal system = tetragonal

Structure (extended XYZ):
```
4
Lattice="4.2043 0.0000 0.0000 0.0000 4.2043 0.0000 0.0000 0.0000 3.3263" Properties=species:S:1:pos:R:3 pbc="T T T"
Er 0.0000 0.0000 0.0000
Ga 2.1022 2.1022 0.0000
Co 0.0000 2.1022 1.6631
Co 2.1022 0.0000 1.6631
```

=====

A geometry-optimized LiLa2AgRh structure, computed with PBE.

energy above the most stable polymorph in this dataset = 0 meV/atom
formation energy = -205 kJ/mol of formula units
crystal system = monoclinic

Structure (extended XYZ):
```
10
Lattice="7.7780 0.0000 0.0000 0.0000 4.3261 0.0000 -2.5053 0.0000 7.4861" Properties=species:S:1:pos:R:3 pbc="T T T"
Li 1.0339 1.0815 0.4103
Li 4.2389 3.2446 7.0758
La 0.2006 3.2446 2.9690
La 1.6592 1.0815 5.7918
La 3.6136 3.2446 1.6944
La 5.0722 1.0815 4.5171
Ag -0.7997 3.2446 6.2519
Ag 6.0724 1.0815 1.2342
Rh 2.0946 1.0815 2.8411
Rh 3.1782 3.2446 4.6450
```

=====

no.,N(E_F) (states/eV/cell)
1,2.0
2,3.7
3,3.7
4,5.9
5,72.9
6,4.1
7,65.9
8,1.9
9,7.9
10,12.0
11,5.4
12,8.4
13,12.8
14,6.0
15,36.4
16,9.0
17,18.5
18,30.6
19,0.9
20,7.9